# TaHgCl2 PBE-GGA relaxed
# DFT total energy   -3.594 eV per atom
# Mass density   9.42 g cm⁻³
# Distance to the lowest polymorph of the same formula   91.22 kJ per mole of atoms
# Raw formation energy   142 kJ/mol of formula units
data_TaHgCl2
_chemical_formula_sum 'Ta1 Hg1 Cl2'
_space_group_name_H-M_alt 'P m m m'
_space_group_IT_number 47
_space_group_name_Hall '-P 2 2'
_cell_length_a 3.071
_cell_length_b 4.673
_cell_length_c 5.561
_cell_angle_alpha 90.00
_cell_angle_beta 90.00
_cell_angle_gamma 90.00
loop_
_atom_site_label
_atom_site_type_symbol
_atom_site_fract_x
_atom_site_fract_y
_atom_site_fract_z
_atom_site_occupancy
Ta1 Ta 0.000 0.000 0.000 1
Hg1 Hg 0.500 0.000 0.500 1
Cl1 Cl 0.000 0.500 0.500 1
Cl2 Cl 0.500 0.500 0.000 1